# meta-GGA SCAN K2HgAsCl6, single point on PBEsol structure
# **Uncorrected formation energy**: -1.206 eV per atom
# **Raw total energy**: -16.494 eV per atom
# **Crystal system**: cubic
# **Total magnetic moment**: 0.000 μB/cell
# **Mass density**: 3.32 g/cm3
data_K2HgAsCl6
_chemical_formula_sum 'K8 Hg4 As4 Cl24'
_symmetry_space_group_name_H-M 'F m -3 m'
_symmetry_Int_Tables_number 225
_symmetry_space_group_name_Hall '-F 4 2 3'
_cell_length_a 10.429
_cell_length_b 10.429
_cell_length_c 10.429
_cell_angle_alpha 90.00
_cell_angle_beta 90.00
_cell_angle_gamma 90.00
loop_
_atom_site_label
_atom_site_type_symbol
_atom_site_fract_x
_atom_site_fract_y
_atom_site_fract_z
K1 K 0.250 0.250 0.250
Hg1 Hg 0.000 0.000 0.000
As1 As 0.000 0.000 0.500
Cl1 Cl 0.000 0.000 0.263